# LiCuIrSe2S (PBE-GGA, relaxed)
# - Total magnetization: 0.05 μB per cell
# - VASP energy: -4.608 eV/atom
data_LiCuIrSe2S
_space_group_name_H-M_alt 'P 1'
_space_group_IT_number 1
_cell_length_a 6.369
_cell_length_b 6.369
_cell_length_c 9.282
_cell_angle_alpha 90.00
_cell_angle_beta 90.00
_cell_angle_gamma 146.21
loop_
_space_group_symop_operation_xyz
'x,y,z'
loop_
_atom_site_label
_atom_site_fract_x
_atom_site_fract_y
_atom_site_fract_z
_atom_site_occupancy
Cu1 0.463 0.537 0.250 1
Cu2 0.537 0.463 0.750 1
Ir1 0.000 0.000 0.000 1
Ir2 0.000 0.000 0.500 1
Li1 0.743 0.257 0.250 1
Li2 0.257 0.743 0.750 1
S1 0.076 0.924 0.250 1
S2 0.924 0.076 0.750 1
Se1 0.358 0.642 0.033 1
Se2 0.358 0.642 0.467 1
Se3 0.642 0.358 0.533 1
Se4 0.642 0.358 0.967 1

# PrNdCd4 (PBE-GGA, relaxed)
# - Total magnetization: 0.02 μB per cell
# - VASP energy: -2.546 eV/atom
# - Calculated formation energy: -359 meV/atom
data_PrNdCd4
_space_group_name_H-M_alt 'P 1'
_space_group_IT_number 1
_cell_length_a 3.438
_cell_length_b 5.082
_cell_length_c 8.811
_cell_angle_alpha 90.00
_cell_angle_beta 90.00
_cell_angle_gamma 90.00
loop_
_space_group_symop_operation_xyz
'x,y,z'
loop_
_atom_site_label
_atom_site_fract_x
_atom_site_fract_y
_atom_site_fract_z
_atom_site_occupancy
Cd1 0.498 0.500 0.165 1
Cd2 0.502 0.000 0.332 1
Cd3 0.498 0.000 0.668 1
Cd4 0.502 0.500 0.835 1
Nd1 0.000 0.000 0.000 1
Pr1 0.000 0.500 0.500 1

# BaTbScS3 (PBE-GGA, relaxed)
# - Total magnetization: 1.22 μB per cell
# - VASP energy: -6.007 eV/atom
data_BaTbScS3
_space_group_name_H-M_alt 'P 1'
_space_group_IT_number 1
_cell_length_a 4.127
_cell_length_b 7.352
_cell_length_c 10.490
_cell_angle_alpha 90.00
_cell_angle_beta 90.00
_cell_angle_gamma 106.30
loop_
_space_group_symop_operation_xyz
'x,y,z'
loop_
_atom_site_label
_atom_site_fract_x
_atom_site_fract_y
_atom_site_fract_z
_atom_site_occupancy
Ba1 0.260 0.521 0.250 1
Ba2 0.740 0.479 0.750 1
S1 0.632 0.264 0.058 1
S2 0.928 0.856 0.250 1
S3 0.632 0.264 0.442 1
S4 0.368 0.736 0.558 1
S5 0.072 0.144 0.750 1
S6 0.368 0.736 0.942 1
Sc1 0.532 0.064 0.250 1
Sc2 0.468 0.936 0.750 1
Tb1 0.000 0.000 0.000 1
Tb2 0.000 0.000 0.500 1

# DyNpPa (PBE-GGA, relaxed)
# - Total magnetization: 6.87 μB per cell
# - VASP energy: -7.891 eV/atom
# - Calculated formation energy: 1064 meV/atom
data_DyNpPa
_space_group_name_H-M_alt 'P 1'
_space_group_IT_number 1
_cell_length_a 4.790
_cell_length_b 4.790
_cell_length_c 4.790
_cell_angle_alpha 60.00
_cell_angle_beta 60.00
_cell_angle_gamma 60.00
loop_
_space_group_symop_operation_xyz
'x,y,z'
loop_
_atom_site_label
_atom_site_fract_x
_atom_site_fract_y
_atom_site_fract_z
_atom_site_occupancy
Dy1 0.250 0.250 0.250 1
Np1 0.000 0.000 0.000 1
Pa1 0.750 0.750 0.750 1

# YNpS3 (PBE-GGA, relaxed)
# - Total magnetization: 7.91 μB per cell
# - VASP energy: -8.045 eV/atom
data_YNpS3
_space_group_name_H-M_alt 'P 1'
_space_group_IT_number 1
_cell_length_a 6.631
_cell_length_b 6.631
_cell_length_c 9.401
_cell_angle_alpha 90.00
_cell_angle_beta 90.00
_cell_angle_gamma 146.42
loop_
_space_group_symop_operation_xyz
'x,y,z'
loop_
_atom_site_label
_atom_site_fract_x
_atom_site_fract_y
_atom_site_fract_z
_atom_site_occupancy
Np1 0.750 0.250 0.250 1
Np2 0.250 0.750 0.750 1
S1 0.355 0.646 0.070 1
S2 0.097 0.903 0.250 1
S3 0.354 0.645 0.430 1
S4 0.645 0.354 0.570 1
S5 0.903 0.097 0.750 1
S6 0.646 0.355 0.930 1
Y1 0.001 0.001 0.000 1
Y2 0.999 0.999 0.500 1

# Dy3Mg3AlPt2 (PBE-GGA, relaxed)
# - Total magnetization: 0.03 μB per cell
# - VASP energy: -4.508 eV/atom
data_Dy3Mg3AlPt2
_space_group_name_H-M_alt 'P 1'
_space_group_IT_number 1
_cell_length_a 7.449
_cell_length_b 7.449
_cell_length_c 4.124
_cell_angle_alpha 90.00
_cell_angle_beta 90.00
_cell_angle_gamma 120.00
loop_
_space_group_symop_operation_xyz
'x,y,z'
loop_
_atom_site_label
_atom_site_fract_x
_atom_site_fract_y
_atom_site_fract_z
_atom_site_occupancy
Al1 0.000 0.000 0.000 1
Dy1 0.580 0.000 0.000 1
Dy2 0.420 0.420 0.000 1
Dy3 0.000 0.580 0.000 1
Mg1 0.254 0.000 0.500 1
Mg2 0.000 0.254 0.500 1
Mg3 0.746 0.746 0.500 1
Pt1 0.667 0.333 0.500 1
Pt2 0.333 0.667 0.500 1